[1]
The following is a PBE calculation of an optimized crystal structure of In5Sn4Pb2, from Alexandria via LeMat-Bulk.

Values from the calculation:
DFT total energy = -3.341 eV per atom
DOS at the Fermi energy = 4.9 states/eV per cell
Total magnetic moment = 0.000 Bohr magnetons per cell
Energy of formation from the pure elements = 3.3 kJ per mole of atoms

Unit cell a=6.1996 b=6.9583 c=7.9514 alpha=108.72 beta=100.59 gamma=98.59
With the nearest neighbours (Å) after each atom.
Space group P-1 (No. 2)
Symmetry-distinct sites (fractional):
In: 0.0000 0.0000 0.0000 x1  4 In 3.34-3.48, 6 Sn 3.35-3.68, 2 Pb 3.39
In: 0.1799 0.7442 0.6386 x2  3 Sn 3.23-3.58, 5 In 3.27-3.58, 2 Pb 3.35-3.36
In: 0.2878 0.1037 0.4499 x2  4 Sn 3.25-3.47, 5 In 3.27-3.58, 2 Pb 3.40-3.44
Sn: 0.3927 0.4488 0.2639 x2  4 In 3.23-3.42, 3 Sn 3.26-3.54, 2 Pb 3.35-3.59
Sn: 0.4636 0.8238 0.0990 x2  5 In 3.25-3.58, 3 Sn 3.26-3.33, 2 Pb 3.40-3.53
Pb: 0.0708 0.3637 0.8039 x2  5 In 3.35-3.44, 6 Sn 3.35-3.68, 1 Pb 3.44

***

[2]
The following is a PBE calculation of an optimized crystal structure of In7Sn2Pb, from Alexandria via LeMat-Bulk.

Values from the calculation:
DFT total energy = -2.981 eV per atom
DOS at the Fermi energy = 8.2 states/eV per cell
Total magnetic moment = 0.000 Bohr magnetons per cell
Energy of formation from the pure elements = 10.4 kJ per mole of atoms

Unit cell a=9.3884 b=20.3050 c=3.2058 alpha=90.00 beta=90.00 gamma=90.00
With the nearest neighbours (Å) after each atom.
Space group Cmmm (No. 65)
Symmetry-distinct sites (fractional):
In: 0.0000 0.0000 0.0000 x2  6 In 3.20-3.21
In: 0.0000 0.3159 0.5000 x4  2 Sn 3.18, 6 In 3.21-3.23
In: 0.2346 0.4011 0.0000 x8  1 Sn 2.99, 5 In 3.20-3.23
Sn: 0.0000 0.1804 0.0000 x4  4 In 2.99-3.18, 2 Sn 3.21
Pb: 0.0000 0.5000 0.5000 x2  2 Pb 3.21, 8 In 3.38

***

[3]
The following is a PBE calculation of an optimized crystal structure of In5Sn2Pb, from Alexandria via LeMat-Bulk.

Values from the calculation:
DFT total energy = -3.152 eV per atom
DOS at the Fermi energy = 7.0 states/eV per cell
Total magnetic moment = 0.000 Bohr magnetons per cell
Energy of formation from the pure elements = 2.2 kJ per mole of atoms

Unit cell a=6.6151 b=13.7223 c=4.9175 alpha=90.00 beta=90.00 gamma=90.00
With the nearest neighbours (Å) after each atom.
Space group Pbam (No. 55)
Symmetry-distinct sites (fractional):
In: 0.0000 0.0000 0.0000 x2  2 Pb 3.31, 6 In 3.41-3.43, 4 Sn 3.43
In: 0.0009 0.2487 0.0000 x4  7 In 3.31-3.43, 4 Sn 3.39-3.42, 1 Pb 3.45
In: 0.2469 0.1271 0.5000 x4  4 Sn 3.27-3.50, 6 In 3.39-3.43, 2 Pb 3.45
Sn: 0.2471 0.8723 0.5000 x4  10 In 3.27-3.50, 2 Pb 3.45
Pb: 0.0000 0.5000 0.0000 x2  8 In 3.31-3.45, 4 Sn 3.45

***

[4]
The following is a PBE calculation of an optimized crystal structure of InSn2Pb, from Alexandria via LeMat-Bulk.

Values from the calculation:
DFT total energy = -3.574 eV per atom
DOS at the Fermi energy = 1.6 states/eV per cell
Total magnetic moment = 0.000 Bohr magnetons per cell
Energy of formation from the pure elements = 3.8 kJ per mole of atoms

Unit cell a=3.4710 b=4.6279 c=7.1458 alpha=90.00 beta=90.00 gamma=90.00
With the nearest neighbours (Å) after each atom.
Space group Pmmm (No. 47)
Symmetry-distinct sites (fractional):
In: 0.0000 0.0000 0.0000 x1  8 Sn 3.35, 2 In 3.47, 2 Pb 3.57
Sn: 0.5000 0.5000 0.2370 x2  4 In 3.35, 3 Sn 3.39-3.47, 4 Pb 3.45
Pb: 0.0000 0.0000 0.5000 x1  8 Sn 3.45, 2 Pb 3.47, 2 In 3.57

***

[5]
The following is a PBE calculation of an optimized crystal structure of In7Sn4Pb, from Alexandria via LeMat-Bulk.

Values from the calculation:
DFT total energy = -3.204 eV per atom
DOS at the Fermi energy = 6.6 states/eV per cell
Total magnetic moment = 0.000 Bohr magnetons per cell
Energy of formation from the pure elements = 3.5 kJ per mole of atoms

Unit cell a=3.4084 b=3.4084 c=33.0365 alpha=90.00 beta=90.00 gamma=120.00
With the nearest neighbours (Å) after each atom.
Space group P-3m1 (No. 164)
Symmetry-distinct sites (fractional):
In: 0.0000 0.0000 0.0000 x1  6 Sn 3.34, 6 In 3.41
In: 0.0000 0.0000 0.2476 x2  9 In 3.36-3.41, 3 Sn 3.39
In: 0.3333 0.6667 0.1652 x2  9 In 3.36-3.41, 3 Sn 3.39
In: 0.3333 0.6667 0.4126 x2  3 Sn 3.34, 6 In 3.41, 3 Pb 3.49
Sn: 0.3333 0.6667 0.6689 x2  6 In 3.34-3.39, 6 Sn 3.41
Sn: 0.3333 0.6667 0.9182 x2  6 In 3.34-3.39, 6 Sn 3.41
Pb: 0.0000 0.0000 0.5000 x1  6 Pb 3.41, 6 In 3.49

***

[6]
The following is a PBE calculation of an optimized crystal structure of In8Sn3Pb2, from Alexandria via LeMat-Bulk.

Values from the calculation:
DFT total energy = -3.134 eV per atom
DOS at the Fermi energy = 6.0 states/eV per cell
Total magnetic moment = 0.000 Bohr magnetons per cell
Energy of formation from the pure elements = 4.3 kJ per mole of atoms

Unit cell a=7.0029 b=4.9337 c=10.9089 alpha=90.00 beta=93.15 gamma=90.00
With the nearest neighbours (Å) after each atom.
Space group P2/m (No. 10)
Symmetry-distinct sites (fractional):
In: 0.0708 0.0000 0.3536 x2  6 In 3.25-3.51, 5 Sn 3.33-3.49, 1 Pb 3.42
In: 0.0834 0.5000 0.8584 x2  6 In 3.27-3.51, 1 Sn 3.39, 4 Pb 3.44-3.45
In: 0.3556 0.5000 0.2717 x2  5 In 3.25-3.33, 4 Sn 3.39-3.61, 2 Pb 3.44
In: 0.3574 0.0000 0.7782 x2  5 In 3.25-3.27, 3 Sn 3.25-3.50, 2 Pb 3.28
Sn: 0.2178 0.5000 0.5643 x2  3 Sn 3.26-3.29, 9 In 3.34-3.50
Sn: 0.5000 0.0000 0.5000 x1  8 In 3.25-3.61, 4 Sn 3.26
Pb: 0.2304 0.0000 0.0633 x2  9 In 3.28-3.45, 1 Pb 3.44

***

[7]
The following is a PBE calculation of an optimized crystal structure of In3Sn2Pb, from Alexandria via LeMat-Bulk.

Values from the calculation:
DFT total energy = -3.259 eV per atom
DOS at the Fermi energy = 10.2 states/eV per cell
Total magnetic moment = 0.000 Bohr magnetons per cell
Energy of formation from the pure elements = 6.1 kJ per mole of atoms

Unit cell a=9.1422 b=11.1009 c=6.8825 alpha=90.00 beta=95.95 gamma=90.00
With the nearest neighbours (Å) after each atom.
Space group C2/c (No. 15)
Symmetry-distinct sites (fractional):
In: 0.0000 0.1994 0.2500 x4  4 Sn 3.12-3.28, 4 In 3.20-3.35, 1 Pb 3.23
In: 0.1792 0.0309 0.9821 x8  2 Sn 3.11-3.40, 3 In 3.20-3.38, 1 Pb 3.33
Sn: 0.1641 0.2459 0.6908 x8  4 In 3.11-3.40, 2 Sn 3.19-3.20, 1 Pb 3.34
Pb: 0.0000 0.4902 0.2500 x4  5 In 3.23-3.49, 2 Sn 3.34, 2 Pb 3.45

***

[8]
The following is a PBE calculation of an optimized crystal structure of In4SnPb, from Alexandria via LeMat-Bulk.

Values from the calculation:
DFT total energy = -2.994 eV per atom
DOS at the Fermi energy = 20.1 states/eV per cell
Total magnetic moment = 0.000 Bohr magnetons per cell
Energy of formation from the pure elements = 11.3 kJ per mole of atoms

Unit cell a=8.8485 b=8.8485 c=8.8485 alpha=90.00 beta=90.00 gamma=90.00
With the nearest neighbours (Å) after each atom.
Space group F-43m (No. 216)
Symmetry-distinct sites (fractional):
In: 0.1251 0.1251 0.1251 x16  6 In 3.13
Sn: 0.0000 0.0000 0.5000 x4  12 In 3.67, 4 Pb 3.83
Pb: 0.2500 0.2500 0.7500 x4  12 In 3.67, 4 Sn 3.83

***

[9]
The following is a PBE calculation of an optimized crystal structure of InSn3Pb2, from Alexandria via LeMat-Bulk.

Values from the calculation:
DFT total energy = -3.622 eV per atom
DOS at the Fermi energy = 7.2 states/eV per cell
Total magnetic moment = 0.000 Bohr magnetons per cell
Energy of formation from the pure elements = 7.0 kJ per mole of atoms

Unit cell a=6.1798 b=6.3867 c=9.0073 alpha=90.00 beta=90.00 gamma=90.00
With the nearest neighbours (Å) after each atom.
Space group Pmma (No. 51)
Symmetry-distinct sites (fractional):
In: 0.2500 0.0000 0.0961 x2  3 Pb 3.18-3.23, 2 Sn 3.19, 2 In 3.54
Sn: 0.0000 0.5000 0.5000 x2  6 Sn 3.09-3.42
Sn: 0.2500 0.2550 0.7915 x4  4 Sn 3.13-3.42, 1 In 3.19, 3 Pb 3.49-3.50
Pb: 0.2500 0.0000 0.4492 x2  1 In 3.18, 2 Pb 3.22, 2 Sn 3.49
Pb: 0.2500 0.5000 0.1490 x2  2 In 3.23, 8 Sn 3.50-3.58

***

[10]
The following is a PBE calculation of an optimized crystal structure of InSn3Pb7, from Alexandria via LeMat-Bulk.

Values from the calculation:
DFT total energy = -3.571 eV per atom
DOS at the Fermi energy = 26.8 states/eV per cell
Total magnetic moment = 0.000 Bohr magnetons per cell
Energy of formation from the pure elements = 12.5 kJ per mole of atoms

Unit cell a=3.3207 b=44.2915 c=10.1563 alpha=90.00 beta=90.00 gamma=90.00
With the nearest neighbours (Å) after each atom.
Space group Cmcm (No. 63)
Symmetry-distinct sites (fractional):
In: 0.0000 0.0911 0.2500 x4  2 In 3.32, 8 Pb 3.40-3.44, 2 Sn 3.43
Sn: 0.0000 0.0927 0.5876 x8  3 Sn 3.30-3.32, 6 Pb 3.36-3.55, 1 In 3.43
Sn: 0.0000 0.2767 0.2500 x4  2 Sn 3.32, 6 Pb 3.36-3.40
Pb: 0.0000 0.2779 0.5808 x8  6 Pb 3.32-3.44, 3 Sn 3.36-3.40
Pb: 0.0000 0.3540 0.5826 x8  4 Pb 3.32-3.40, 2 Sn 3.36, 2 In 3.40
Pb: 0.0000 0.4648 0.5809 x8  6 Pb 3.32-3.53, 2 In 3.44, 2 Sn 3.49
Pb: 0.0000 0.4677 0.2500 x4  6 Pb 3.32-3.45, 4 Sn 3.55